First-principles (PBE) data for a relaxed structure of CaDyS2, as listed in Alexandria via LeMat-Bulk.

Unit cell a=3.9333 b=3.9333 c=6.9336 alpha=106.39 beta=106.39 gamma=60.00
Closest atoms and distances in Å follow each position.
Fractional positions:
Ca  0.0000  0.0000  0.0000  6 S 2.82
Dy  0.5000  0.5000  0.5000  6 S 2.78
S  0.2483  0.2483  0.7448  3 Dy 2.78, 3 Ca 2.82
S  0.7517  0.7517  0.2552  3 Dy 2.78, 3 Ca 2.82

Results
E above lowest polymorph	0.000	eV per atom
uncorrected formation energy	-8.22	eV/f.u.